! CaIr2Rh2, relaxed, DFT PBE-GGA; values from VASP
&SYSTEM
  ibrav = 0, nat = 5, ntyp = 3
/
ATOMIC_SPECIES
Ca 40.08 Ca.upf
Ir 192.22 Ir.upf
Rh 102.91 Rh.upf
CELL_PARAMETERS angstrom
4.117 0.000 0.000
0.000 4.117 0.000
2.058 2.058 5.456
ATOMIC_POSITIONS crystal
Ca 0.000 0.000 0.000
Ir 0.393 0.393 0.213
Ir 0.607 0.607 0.787
Rh 0.750 0.250 0.500
Rh 0.250 0.750 0.500
! - space group = I4/mmm, No. 139
! - calculated formation energy (meV per atom) = -29
! - magnetic moment (μB per cell) = 0.000